Record 1
A plane-wave DFT calculation with PBE-GGA was carried out for a geometry-optimized Pr3Sm4Al4 structure.

Cell and atoms, written as CIF:
```
data_Pr3Sm4Al4
_cell_length_a 5.234
_cell_length_b 6.999
_cell_length_c 17.510
_cell_angle_alpha 90.00
_cell_angle_beta 90.00
_cell_angle_gamma 90.00
_space_group_name_H-M_alt 'I m m m'
_space_group_IT_number 71
_space_group_name_Hall '-I 2 2'
loop_
_atom_site_label
_atom_site_fract_x
_atom_site_fract_y
_atom_site_fract_z
Pr1 0.000 0.000 0.000
Pr2 0.000 0.500 0.101
Sm1 0.000 0.268 0.322
Al1 0.000 0.000 0.177
Al2 0.000 0.195 0.500
```

=====

Record 2
A plane-wave DFT calculation with PBE-GGA was carried out for a geometry-optimized Zr3ZnBr structure.

Cell and atoms, written as CIF:
```
data_Zr3ZnBr
_cell_length_a 4.963
_cell_length_b 4.963
_cell_length_c 4.963
_cell_angle_alpha 90.00
_cell_angle_beta 90.00
_cell_angle_gamma 90.00
_space_group_name_H-M_alt 'P m -3 m'
_space_group_IT_number 221
_space_group_name_Hall '-P 4 2 3'
loop_
_atom_site_label
_atom_site_fract_x
_atom_site_fract_y
_atom_site_fract_z
Zr1 0.000 0.000 0.500
Zn1 0.500 0.500 0.500
Br1 0.000 0.000 0.000
```

- Formation energy from raw total energies: 0.482 eV/atom
- Polymorph energy (0 for the lowest one): 0.00 eV/f.u.

=====

Record 3
A plane-wave DFT calculation with PBE-GGA was carried out for a geometry-optimized V8Co2Sn structure.

Cell and atoms, written as CIF:
```
data_V8Co2Sn
_cell_length_a 11.168
_cell_length_b 5.165
_cell_length_c 5.493
_cell_angle_alpha 90.00
_cell_angle_beta 103.49
_cell_angle_gamma 90.00
_space_group_name_H-M_alt 'C 1 2/m 1'
_space_group_IT_number 12
_space_group_name_Hall '-C 2y'
loop_
_atom_site_label
_atom_site_fract_x
_atom_site_fract_y
_atom_site_fract_z
V1 0.093 0.000 0.410
V2 0.101 0.223 0.922
V3 0.216 0.500 0.285
Co1 0.231 0.500 0.751
Sn1 0.000 0.500 0.500
```

=====

Record 4
A plane-wave DFT calculation with PBE-GGA was carried out for a geometry-optimized GaReSb2I structure.

Cell and atoms, written as CIF:
```
data_GaReSb2I
_cell_length_a 5.319
_cell_length_b 5.319
_cell_length_c 5.385
_cell_angle_alpha 90.00
_cell_angle_beta 90.00
_cell_angle_gamma 90.00
_space_group_name_H-M_alt 'P 4/m m m'
_space_group_IT_number 123
_space_group_name_Hall '-P 4 2'
loop_
_atom_site_label
_atom_site_fract_x
_atom_site_fract_y
_atom_site_fract_z
Ga1 0.000 0.000 0.000
Re1 0.500 0.500 0.500
Sb1 0.000 0.500 0.000
I1 0.000 0.000 0.500
```

- Formation energy from raw total energies: 1.522 eV/atom
- Polymorph energy (0 for the lowest one): 4.64 eV/f.u.

=====

Record 5
A plane-wave DFT calculation with PBE-GGA was carried out for a geometry-optimized Cs2CaOsI6 structure.

Cell and atoms, written as CIF:
```
data_Cs2CaOsI6
_cell_length_a 11.727
_cell_length_b 11.727
_cell_length_c 11.727
_cell_angle_alpha 90.00
_cell_angle_beta 90.00
_cell_angle_gamma 90.00
_space_group_name_H-M_alt 'F m -3 m'
_space_group_IT_number 225
_space_group_name_Hall '-F 4 2 3'
loop_
_atom_site_label
_atom_site_fract_x
_atom_site_fract_y
_atom_site_fract_z
Cs1 0.250 0.250 0.250
Ca1 0.000 0.000 0.000
Os1 0.000 0.000 0.500
I1 0.000 0.000 0.267
```

- Formation energy from raw total energies: -0.844 eV/atom

=====

Record 6
A plane-wave DFT calculation with PBE-GGA was carried out for a geometry-optimized In3Hg structure.

Cell and atoms, written as CIF:
```
data_In3Hg
_cell_length_a 3.610
_cell_length_b 5.514
_cell_length_c 10.793
_cell_angle_alpha 90.00
_cell_angle_beta 90.00
_cell_angle_gamma 90.00
_space_group_name_H-M_alt 'I m m m'
_space_group_IT_number 71
_space_group_name_Hall '-I 2 2'
loop_
_atom_site_label
_atom_site_fract_x
_atom_site_fract_y
_atom_site_fract_z
In1 0.000 0.000 0.000
In2 0.000 0.500 0.244
Hg1 0.000 0.000 0.500
```

=====

Number 1: calculated total energy -0.1675 hartree per atom. Number 2: calculated total energy -0.1924 hartree per atom. Number 3: calculated total energy -0.2987 hartree per atom. Number 4: calculated total energy -0.1298 hartree per atom. Number 5: calculated total energy -0.1201 hartree per atom. Number 6: calculated total energy -0.0775 hartree per atom.